Density functional theory data (GGA-PBE) for LiZnIrW after structural relaxation.

Cell and atoms, written as POSCAR:
```
LiZnIrW
1.0
-1.892 -2.526 2.839
-1.852 1.677 3.431
-4.230 -0.009 0.346
Zn Li W Ir
1 1 1 1
Direct
0.250 0.250 0.250
0.750 0.750 0.750
0.500 0.500 0.500
0.000 0.000 0.000
```

Computed properties:
energy above the most stable polymorph in this dataset = 0.578 eV per atom
magnetic moment = 0.44 μB per formula unit